DFT (PBE) results for a geometry-optimized PmIn2Si2Pt7 structure.

formation energy (no corrections) = -0.660 eV per atom
calculated density = 13.11 Mg/m³
space group = C2/m (12)

```
PmIn2Si2Pt7
1.0
4.018 -0.009 -0.077
-0.004 4.018 -0.077
1.708 1.706 14.024
Pm In Si Pt
1 2 2 7
direct
0.000 0.000 0.000
0.894 0.894 0.396
0.106 0.106 0.604
0.590 0.590 0.745
0.410 0.410 0.255
0.500 0.500 0.000
0.380 0.380 0.419
0.620 0.620 0.581
0.943 0.443 0.162
0.443 0.943 0.162
0.557 0.057 0.838
0.057 0.557 0.838
```

DFT (PBE) results for a geometry-optimized Tb4YNi2 structure.

calculated density = 7.90 Mg/m³
space group = P2_1/m (11)
formation energy from the elements = -0.14 eV per atom

```
Tb4YNi2
1.0
-5.349 -1.815 3.041
-3.483 -0.816 -6.614
3.602 -6.669 2.355
Tb Y Ni
8 2 4
direct
0.505 0.407 0.768
0.250 0.253 0.345
0.750 0.747 0.655
0.995 0.407 0.768
0.750 0.027 0.386
0.005 0.593 0.232
0.495 0.593 0.232
0.250 0.973 0.614
0.250 0.851 0.974
0.750 0.149 0.026
0.250 0.257 0.996
0.750 0.743 0.004
0.750 0.380 0.411
0.250 0.620 0.589
```

DFT (PBE) results for a geometry-optimized HgSbPd4 structure.

formation energy (no corrections) = -0.254 eV per atom
calculated density = 11.68 Mg/m³
space group = P2_1/c (14)
polymorph energy (0 for the lowest one) = 0.0 meV per atom

```
HgSbPd4
1.0
5.187 0.000 0.131
0.000 8.473 0.000
-0.175 0.000 4.834
Hg Sb Pd
2 2 8
direct
0.500 0.000 0.500
0.000 0.500 0.500
0.000 0.000 0.000
0.500 0.500 0.000
0.079 0.672 0.001
0.421 0.172 0.999
0.534 0.334 0.500
0.966 0.834 0.500
0.921 0.328 0.999
0.579 0.828 0.001
0.466 0.666 0.500
0.034 0.166 0.500
```

DFT (PBE) results for a geometry-optimized As4Ru2Cl structure.

formation energy (no corrections) = 0.626 eV per atom
calculated density = 5.79 Mg/m³
space group = I4/mmm (139)

```
As4Ru2Cl
1.0
-1.916 -3.827 2.087
1.703 -2.756 -3.491
5.623 -4.232 2.835
Ru As Cl
2 4 1
direct
0.595 0.595 0.810
0.405 0.405 0.190
0.760 0.760 0.480
0.240 0.240 0.520
0.000 0.500 0.000
0.500 0.000 0.000
0.000 0.000 0.000
```

DFT (PBE) results for a geometry-optimized PmSmSi2 structure.

formation energy (no corrections) = -0.787 eV per atom
calculated density = 6.23 Mg/m³
space group = Amm2 (38)

```
PmSmSi2
1.0
-1.590 -1.141 3.957
1.851 -3.437 -0.247
5.154 2.747 0.402
Pm Sm Si
1 1 2
direct
0.723 0.000 0.985
0.443 0.500 0.424
0.156 0.500 0.850
0.009 0.000 0.558
```

DFT (PBE) results for a geometry-optimized MnSe2Br structure.

formation energy (no corrections) = -0.168 eV per atom
calculated density = 4.33 Mg/m³
space group = Pm (6)
polymorph energy (0 for the lowest one) = 193.6 meV per atom

```
MnSe2Br
1.0
-2.845 0.577 1.628
-2.641 -3.688 -3.307
0.490 -5.566 2.829
Br Mn Se
1 1 2
direct
0.000 0.584 0.579
0.500 0.674 0.844
0.000 0.915 0.949
0.500 0.327 0.128
```

DFT (PBE) results for a geometry-optimized Tb3Zn3Hg2 structure.

calculated density = 9.45 Mg/m³
space group = P-62m (189)
formation energy from the elements = -0.29 eV per atom

```
Tb3Zn3Hg2
1.0
4.421 0.000 0.000
0.000 6.081 -3.511
0.000 0.000 7.022
Tb Zn Hg
3 3 2
direct
0.500 0.379 0.379
0.500 0.621 0.000
0.500 0.000 0.621
0.000 0.782 0.782
0.000 0.218 0.000
0.000 0.000 0.218
0.000 0.333 0.667
0.000 0.667 0.333
```

DFT (PBE) results for a geometry-optimized TbEr7Pb4 structure.

calculated density = 9.89 Mg/m³
space group = C2/m (12)
formation energy from the elements = -0.04 eV per atom

```
TbEr7Pb4
1.0
-2.520 2.730 -4.362
4.596 -3.312 -8.492
-5.333 -3.606 -2.939
Tb Er Pb
1 7 4
direct
0.000 0.000 0.000
0.786 0.899 0.529
0.214 0.101 0.471
0.041 0.626 0.291
0.959 0.374 0.709
0.343 0.570 0.745
0.500 0.000 0.000
0.657 0.430 0.255
0.587 0.216 0.610
0.413 0.784 0.390
0.710 0.678 0.901
0.290 0.322 0.099
```

DFT (PBE) results for a geometry-optimized Ca2Zr structure.

calculated density = 2.81 Mg/m³
space group = Cmcm (63)
polymorph energy (0 for the lowest one) = 38.4 meV per atom
formation energy from the elements = 0.28 eV per atom

```
Ca2Zr
1.0
3.049 -9.040 0.000
3.049 9.040 0.000
0.000 0.000 3.672
Ca Zr
4 2
direct
0.412 0.588 0.750
0.588 0.412 0.250
0.780 0.220 0.750
0.220 0.780 0.250
0.060 0.940 0.750
0.940 0.060 0.250
```

DFT (PBE) results for a geometry-optimized ErCd6In2 structure.

calculated density = 8.13 Mg/m³
space group = C2/m (12)
formation energy from the elements = -0.09 eV per atom

```
ErCd6In2
1.0
-1.348 2.023 4.093
-4.940 -3.290 2.856
2.503 -5.875 5.157
Er Cd In
1 6 2
direct
0.000 0.000 0.000
0.179 0.837 0.667
0.821 0.163 0.333
0.319 0.362 0.000
0.179 0.504 0.333
0.821 0.496 0.667
0.681 0.638 0.000
0.500 0.848 0.304
0.500 0.152 0.696
```

DFT (PBE) results for a geometry-optimized NaSiSn2 structure.

formation energy (no corrections) = 0.044 eV per atom
calculated density = 4.61 Mg/m³
space group = I-42d (122)

```
NaSiSn2
1.0
8.272 0.000 0.000
0.000 8.272 0.000
4.136 4.136 3.037
Na Si Sn
2 2 4
direct
0.500 0.500 0.000
0.250 0.750 0.500
0.000 0.000 0.000
0.750 0.250 0.500
0.685 0.125 0.250
0.065 0.625 0.250
0.375 0.315 0.750
0.875 0.935 0.750
```

DFT (PBE) results for a geometry-optimized Nb2NiP2 structure.

calculated density = 7.05 Mg/m³
space group = P4/mbm (127)
formation energy from the elements = -0.62 eV per atom

```
Nb2NiP2
1.0
6.503 0.000 0.000
0.000 6.503 0.000
0.000 0.000 3.413
Ni Nb P
2 4 4
direct
0.000 0.000 0.000
0.500 0.500 0.000
0.158 0.658 0.500
0.658 0.842 0.500
0.842 0.342 0.500
0.342 0.158 0.500
0.353 0.853 0.000
0.853 0.647 0.000
0.647 0.147 0.000
0.147 0.353 0.000
```

DFT (PBE) results for a geometry-optimized AlRh3S structure.

formation energy (no corrections) = 0.011 eV per atom
calculated density = 7.38 Mg/m³
space group = Pm-3m (221)
polymorph energy (0 for the lowest one) = 0.0 meV per atom

```
AlRh3S
1.0
4.357 0.000 0.000
0.000 4.357 0.000
0.000 0.000 4.357
S Rh Al
1 3 1
direct
0.000 0.000 0.000
0.000 0.500 0.000
0.000 0.000 0.500
0.500 0.000 0.000
0.500 0.500 0.500
```

DFT (PBE) results for a geometry-optimized CoSe2Cl structure.

formation energy (no corrections) = 0.694 eV per atom
calculated density = 5.98 Mg/m³
space group = P4/mmm (123)
polymorph energy (0 for the lowest one) = 945.6 meV per atom

```
CoSe2Cl
1.0
-3.092 3.117 -2.166
-1.757 -3.651 -2.747
-2.010 -0.572 2.046
Co Se Cl
1 2 1
direct
0.000 0.500 0.500
0.000 0.000 0.000
0.500 0.500 0.000
0.500 0.000 0.500
```

DFT (PBE) results for a geometry-optimized PrThIrI structure.

formation energy (no corrections) = -0.961 eV per atom
calculated density = 8.92 Mg/m³
space group = R3m (160)

```
PrThIrI
1.0
4.241 0.000 0.000
-2.120 3.673 0.000
-2.120 -1.224 8.273
Pr Th Ir I
1 1 1 1
direct
0.514 0.155 0.685
0.087 0.942 0.044
0.311 0.553 0.880
0.965 0.381 0.361
```

DFT (PBE) results for a geometry-optimized TlSiGe3 structure.

formation energy (no corrections) = 0.521 eV per atom
calculated density = 6.33 Mg/m³
space group = Pm-3m (221)
polymorph energy (0 for the lowest one) = 0.0 meV per atom

```
TlSiGe3
1.0
-0.233 -4.005 -2.824
4.811 0.351 -0.894
0.932 -2.812 3.910
Tl Si Ge
1 1 3
direct
0.500 0.500 0.500
0.000 0.000 0.000
0.000 0.500 0.000
0.000 0.000 0.500
0.500 0.000 0.000
```

DFT (PBE) results for a geometry-optimized Tm4TlCo structure.

calculated density = 10.53 Mg/m³
space group = F-43m (216)
polymorph energy (0 for the lowest one) = 0.0 meV per atom
formation energy from the elements = -0.27 eV per atom

```
Tm4TlCo
1.0
8.165 0.000 4.714
2.722 7.698 4.714
0.000 0.000 9.428
Tm Tl Co
16 4 4
direct
0.403 0.403 0.403
0.790 0.403 0.403
0.403 0.790 0.403
0.403 0.403 0.790
0.562 0.562 0.938
0.938 0.938 0.562
0.562 0.938 0.562
0.938 0.562 0.938
0.938 0.562 0.562
0.562 0.938 0.938
0.191 0.191 0.809
0.809 0.809 0.191
0.191 0.809 0.191
0.809 0.191 0.809
0.809 0.191 0.191
0.191 0.809 0.809
0.164 0.164 0.164
0.507 0.164 0.164
0.164 0.507 0.164
0.164 0.164 0.507
0.609 0.609 0.609
0.172 0.609 0.609
0.609 0.172 0.609
0.609 0.609 0.172
```

DFT (PBE) results for a geometry-optimized B2C structure.

calculated density = 2.67 Mg/m³
space group = Cm (8)
polymorph energy (0 for the lowest one) = 273.6 meV per atom
formation energy from the elements = 0.46 eV per atom

```
B2C
1.0
1.335 5.550 -0.110
-1.335 5.550 -0.110
0.000 1.093 5.616
B C
8 4
direct
0.076 0.076 0.216
0.702 0.702 0.180
0.782 0.782 0.437
0.995 0.995 0.509
0.304 0.304 0.246
0.407 0.407 0.416
0.668 0.668 0.687
0.310 0.310 0.923
0.005 0.005 0.987
0.069 0.069 0.724
0.752 0.752 0.879
0.431 0.431 0.046
```

DFT (PBE) results for a geometry-optimized CaHg3Bi structure.

calculated density = 10.24 Mg/m³
space group = P2_1/m (11)
polymorph energy (0 for the lowest one) = 0.0 meV per atom
formation energy from the elements = -0.29 eV per atom

```
CaHg3Bi
1.0
5.251 -0.002 -0.022
-0.004 5.681 -2.130
0.035 0.746 8.974
Ca Hg Bi
2 6 2
direct
0.548 0.815 0.531
0.048 0.982 0.155
0.048 0.139 0.534
0.548 0.242 0.339
0.549 0.658 0.152
0.049 0.555 0.347
0.048 0.785 0.749
0.548 0.012 0.938
0.048 0.408 0.957
0.549 0.389 0.729
```

DFT (PBE) results for a geometry-optimized RbLi2Ge2 structure.

calculated density = 3.66 Mg/m³
space group = P4/mbm (127)
polymorph energy (0 for the lowest one) = 44.5 meV per atom
formation energy from the elements = -0.09 eV per atom

```
RbLi2Ge2
1.0
-3.462 -4.875 5.893
-3.875 -4.459 -5.965
2.471 -1.941 -0.154
Ge Rb Li
4 2 4
direct
0.109 0.609 0.500
0.609 0.891 0.500
0.891 0.391 0.500
0.391 0.109 0.500
0.000 0.000 0.000
0.500 0.500 0.000
0.340 0.840 0.000
0.840 0.660 0.000
0.660 0.160 0.000
0.160 0.340 0.000
```